Record 1
A plane-wave DFT calculation with GGA-PBE was carried out for crystalline SiNi2SnPd2 at its relaxed geometry.

## Properties
Final energy, eV/atom: -5.64

abc: 3.660 3.660 6.539
angles: 90.00 90.00 90.00
Fractional positions:
Ni (0.500, 0.000, 0.972)
Ni (0.000, 0.500, 0.972)
Pd (0.000, 0.000, 0.395)
Pd (0.500, 0.500, 0.656)
Si (0.000, 0.000, 0.758)
Sn (0.500, 0.500, 0.247)

=====

Record 2
A plane-wave DFT calculation with GGA-PBE was carried out for crystalline TbSi2NiPd at its relaxed geometry.

## Properties
Final energy, eV/atom: -6.12

abc: 5.685 5.685 5.685
angles: 138.14 138.14 60.69
Fractional positions:
Ni (0.000, 0.000, 0.000)
Pd (0.500, 0.500, 0.000)
Si (0.630, 0.130, 0.500)
Si (0.870, 0.370, 0.500)
Tb (0.250, 0.750, 0.500)